No. 1
The following is a DFT calculation (GGA-PBEsol) of an optimized crystal structure of DyTiFe11C.

Output
* ΔH_f (0 K): -0.092 eV/atom
* total DFT energy (no corrections): -8.77 eV per atom

Unit cell a=6.3660 b=6.3660 c=6.3660 alpha=136.39 beta=97.56 gamma=98.30
Element x y z (fractional)
Dy 0.0000 0.0000 0.0000
Ti 0.3762 0.3762 0.0000
Fe 0.0052 0.0063 0.4986
Fe 0.0052 0.5066 0.9989
Fe 0.2305 0.5099 0.7206
Fe 0.2314 0.7314 0.5000
Fe 0.3651 0.0077 0.3575
Fe 0.5077 0.0063 0.0011
Fe 0.5077 0.5066 0.5014
Fe 0.6502 0.0077 0.6425
Fe 0.6532 0.6532 0.0000
Fe 0.7824 0.2824 0.5000
Fe 0.7893 0.5099 0.2794
C 0.0066 0.5066 0.5000


No. 2
The following is a DFT calculation (GGA-PBEsol) of an optimized crystal structure of Zr2FeIr.

Output
* ΔH_f (0 K): -0.431 eV/atom
* total DFT energy (no corrections): -9.67 eV per atom

Unit cell a=4.2547 b=5.1709 c=5.1709 alpha=36.37 beta=90.00 gamma=90.00
Element x y z (fractional)
Zr 0.0000 0.0000 0.0000
Zr 0.5000 0.2907 0.2907
Fe 0.5000 0.5514 0.5514
Ir 0.0000 0.7256 0.7256


No. 3
The following is a DFT calculation (GGA-PBEsol) of an optimized crystal structure of KHgAu2.

Output
* ΔH_f (0 K): 0.053 eV/atom
* total DFT energy (no corrections): -2.33 eV per atom

Unit cell a=4.9868 b=4.9868 c=4.9868 alpha=60.00 beta=60.00 gamma=60.00
Element x y z (fractional)
K 0.0000 0.0000 0.0000
Hg 0.2500 0.2500 0.2500
Au 0.5000 0.5000 0.5000
Au 0.7500 0.7500 0.7500


No. 4
The following is a DFT calculation (GGA-PBEsol) of an optimized crystal structure of CaInPb2.

Output
* ΔH_f (0 K): -0.268 eV/atom
* total DFT energy (no corrections): -3.55 eV per atom

Unit cell a=5.9888 b=5.9888 c=5.5448 alpha=104.99 beta=104.99 gamma=35.96
Element x y z (fractional)
Ca 0.0000 0.0000 0.0000
In 0.2517 0.2517 0.7358
Pb 0.5101 0.5101 0.5082
Pb 0.7585 0.7585 0.2511


No. 5
The following is a DFT calculation (GGA-PBEsol) of an optimized crystal structure of CoMo5.

Output
* ΔH_f (0 K): 0.292 eV/atom
* energy relative to the lowest polymorph listed for this composition: 0.0 meV per atom
* total DFT energy (no corrections): -10.80 eV per atom

Unit cell a=5.3434 b=5.3434 c=6.7386 alpha=104.22 beta=104.22 gamma=28.03
Element x y z (fractional)
Co 0.0000 0.0000 0.0000
Mo 0.0595 0.0595 0.6236
Mo 0.3371 0.3371 0.6834
Mo 0.4050 0.4050 0.2703
Mo 0.6670 0.6670 0.3198
Mo 0.7172 0.7172 0.9610


No. 6
The following is a DFT calculation (GGA-PBEsol) of an optimized crystal structure of MgOsRu.

Output
* ΔH_f (0 K): 0.222 eV/atom
* energy relative to the lowest polymorph listed for this composition: 111.5 meV per atom
* total DFT energy (no corrections): -7.81 eV per atom

Unit cell a=2.7570 b=2.7570 c=6.7535 alpha=90.00 beta=90.00 gamma=120.00
Element x y z (fractional)
Mg 0.0000 0.0000 0.0000
Os 0.3333 0.6667 0.6478
Ru 0.6667 0.3333 0.3476


No. 7
The following is a DFT calculation (GGA-PBEsol) of an optimized crystal structure of KCa2Ni.

Output
* ΔH_f (0 K): 0.258 eV/atom
* energy relative to the lowest polymorph listed for this composition: 28.0 meV per atom
* total DFT energy (no corrections): -2.63 eV per atom

Unit cell a=6.7946 b=6.7946 c=6.7946 alpha=147.85 beta=124.79 gamma=65.34
Element x y z (fractional)
K 0.0000 0.0000 0.0000
Ca 0.3288 0.8288 0.5000
Ca 0.6712 0.1712 0.5000
Ni 0.5000 0.5000 0.0000


No. 8
The following is a DFT calculation (GGA-PBEsol) of an optimized crystal structure of BeSi3Ni.

Output
* total DFT energy (no corrections): -4.68 eV per atom

Unit cell a=4.1253 b=4.1253 c=4.1253 alpha=90.00 beta=90.00 gamma=90.00
Element x y z (fractional)
Be 0.0000 0.0000 0.0000
Si 0.0000 0.0000 0.5000
Si 0.0000 0.5000 0.0000
Si 0.5000 0.0000 0.0000
Ni 0.5000 0.5000 0.5000


M_tot? In order: 1.42; 0.00; 0.00; 0.00; 0.00; 0.00; 0.00; 0.00 μB per atom.